1.
# CdSe2F PBE optimized geometry
# **Raw total energy**: -29.9 eV for the cell shown
# **Energy above the lowest structure with this stoichiometry**: 520 meV/atom
# **Energy relative to the elements, uncorrected**: -0.22 eV per formula unit
data_CdSe2F
_space_group_name_H-M_alt 'R -3 m'
_space_group_IT_number 166
_space_group_name_Hall '-R 3 2"'
_cell_length_a 3.0498
_cell_length_b 3.0498
_cell_length_c 27.9402
_cell_angle_alpha 90.00
_cell_angle_beta 90.00
_cell_angle_gamma 120.00
loop_
_atom_site_label
_atom_site_type_symbol
_atom_site_fract_x
_atom_site_fract_y
_atom_site_fract_z
_atom_site_occupancy
Cd1 Cd 0.0000 0.0000 0.0000 1
Se1 Se 0.0000 0.0000 0.0947 1
F1 F 0.0000 0.0000 0.5000 1



2.
# Cd3SeF4 PBE optimized geometry
# **Raw total energy**: -111.8 eV for the cell shown
# **Energy relative to the elements, uncorrected**: -14.22 eV per formula unit
data_Cd3SeF4
_space_group_name_H-M_alt 'C 1 c 1'
_space_group_IT_number 9
_cell_length_a 13.263
_cell_length_b 5.715
_cell_length_c 8.286
_cell_angle_alpha 90.00
_cell_angle_beta 108.44
_cell_angle_gamma 90.00
loop_
_space_group_symop_operation_xyz
'x,y,z'
'x,-y,z+1/2'
'x+1/2,y+1/2,z'
'x+1/2,-y+1/2,z+1/2'
loop_
_atom_site_label
_atom_site_type_symbol
_atom_site_fract_x
_atom_site_fract_y
_atom_site_fract_z
_atom_site_occupancy
Cd1 Cd 0.000 0.004 0.000 1
Cd2 Cd 0.203 0.467 0.395 1
Cd3 Cd 0.376 0.010 0.241 1
Se1 Se 0.188 0.219 0.120 1
F1 F 0.036 0.339 0.389 1
F2 F 0.340 0.323 0.859 1
F3 F 0.373 0.215 0.506 1
F4 F 0.485 0.317 0.236 1



3.
# CdTc2SeF PBE optimized geometry
# **Raw total energy**: -23.2 eV for the cell shown
# **Energy relative to the elements, uncorrected**: 3.77 eV per formula unit
data_CdTc2SeF
_space_group_name_H-M_alt 'P 4/m m m'
_space_group_IT_number 123
_space_group_name_Hall '-P 4 2'
_cell_length_a 4.194
_cell_length_b 4.194
_cell_length_c 5.020
_cell_angle_alpha 90.00
_cell_angle_beta 90.00
_cell_angle_gamma 90.00
loop_
_atom_site_label
_atom_site_type_symbol
_atom_site_fract_x
_atom_site_fract_y
_atom_site_fract_z
_atom_site_occupancy
Cd1 Cd 0.000 0.000 0.000 1
Tc1 Tc 0.000 0.500 0.500 1
Se1 Se 0.500 0.500 0.000 1
F1 F 0.000 0.000 0.500 1



4.
# Cd2TcSeF PBE optimized geometry
# **Raw total energy**: -17.9 eV for the cell shown
# **Energy relative to the elements, uncorrected**: -0.35 eV per formula unit
data_Cd2TcSeF
_space_group_name_H-M_alt 'P 4/m m m'
_space_group_IT_number 123
_space_group_name_Hall '-P 4 2'
_cell_length_a 5.381
_cell_length_b 5.381
_cell_length_c 4.545
_cell_angle_alpha 90.00
_cell_angle_beta 90.00
_cell_angle_gamma 90.00
loop_
_atom_site_label
_atom_site_type_symbol
_atom_site_fract_x
_atom_site_fract_y
_atom_site_fract_z
_atom_site_occupancy
Cd1 Cd 0.000 0.500 0.000 1
Tc1 Tc 0.000 0.000 0.000 1
Se1 Se 0.000 0.000 0.500 1
F1 F 0.500 0.500 0.500 1